Entry 1:
This record from Alexandria via LeMat-Bulk describes CaLaB after structural relaxation. The functional is GGA-PBE.

Cell: 7.333 7.333 7.063 Å, 102.22 102.22 26.10°
Positions (direct):
Ca 0.000 0.000 0.000
Ca 0.248 0.248 0.968
La 0.435 0.435 0.487
La 0.677 0.677 0.465
B 0.085 0.085 0.699
B 0.594 0.594 0.773

Results
VASP energy ... -4.600 eV per atom
Energy of formation from the pure elements ... -19 kJ/mol of formula units
Excess energy over the best structure of this formula in the dataset ... 82.5 meV/atom

Entry 2:
This record from Alexandria via LeMat-Bulk describes Ca2LaB after structural relaxation. The functional is GGA-PBE.

Cell: 7.398 7.398 7.398 Å, 97.24 97.24 138.42°
Positions (direct):
Ca 0.375 0.240 0.365
Ca 0.760 0.125 0.135
Ca 0.875 0.010 0.635
Ca 0.990 0.625 0.865
La 0.250 0.750 0.500
La 0.500 0.500 0.000
B 0.000 0.000 0.000
B 0.750 0.250 0.500

Results
VASP energy ... -3.501 eV per atom
Energy of formation from the pure elements ... 155 kJ/mol of formula units

Entry 3:
This record from Alexandria via LeMat-Bulk describes CaLaB after structural relaxation. The functional is GGA-PBE.

Cell: 4.271 5.195 7.641 Å, 84.00 86.29 82.29°
Positions (direct):
Ca 0.214 0.211 0.156
Ca 0.786 0.789 0.844
La 0.325 0.313 0.638
La 0.675 0.687 0.362
B 0.114 0.868 0.532
B 0.886 0.132 0.468

Results
VASP energy ... -4.489 eV per atom
Energy of formation from the pure elements ... 13 kJ/mol of formula units
Excess energy over the best structure of this formula in the dataset ... 193.7 meV/atom

- What is the energy of formation from the pure elements in the third record?
  13 kJ/mol of formula units